DFT (PBE-GGA) results for LiRuF4 after structural relaxation.

Results
Formation energy without anion corrections (eV/atom): -1.628
DOS(E_F) (states/eV per atom): 0.567

Structure (CIF):
```
data_LiRuF4
_symmetry_space_group_name_H-M 'P 1'
_symmetry_Int_Tables_number 1
_symmetry_space_group_name_Hall 'P 1'
_cell_length_a 5.219
_cell_length_b 5.219
_cell_length_c 4.441
_cell_angle_alpha 125.99
_cell_angle_beta 125.99
_cell_angle_gamma 90.00
loop_
_atom_site_label
_atom_site_fract_x
_atom_site_fract_y
_atom_site_fract_z
Li1 0.750 0.250 0.500
Ru1 0.500 0.500 0.000
F1 0.419 0.019 0.435
F2 0.017 0.416 0.435
F3 0.981 0.983 0.565
F4 0.584 0.581 0.565
```